The following is a DFT calculation (PBE) of an optimized crystal structure of Be7Pd2.

a = 4.234 Å, b = 4.234 Å, c = 10.765 Å
α = 90.00°, β = 90.00°, γ = 59.90°
Fractional coordinates of all 18 atoms:
Be 0.029 0.648 0.578
Be 0.029 0.648 0.922
Be 0.186 0.311 0.750
Be 0.191 0.809 0.750
Be 0.311 0.186 0.250
Be 0.352 0.971 0.578
Be 0.352 0.971 0.922
Be 0.648 0.029 0.078
Be 0.648 0.029 0.422
Be 0.689 0.814 0.750
Be 0.809 0.191 0.250
Be 0.814 0.689 0.250
Be 0.971 0.352 0.078
Be 0.971 0.352 0.422
Pd 0.306 0.694 0.117
Pd 0.306 0.694 0.383
Pd 0.694 0.306 0.617
Pd 0.694 0.306 0.883

Symmetry: Cmcm



The following is a DFT calculation (PBE) of an optimized crystal structure of BePd3.

a = 5.057 Å, b = 5.057 Å, c = 7.621 Å
α = 90.00°, β = 90.00°, γ = 146.99°
Fractional coordinates of all 8 atoms:
Be 0.249 0.751 0.750
Be 0.751 0.249 0.250
Pd 0.066 0.934 0.250
Pd 0.363 0.637 0.062
Pd 0.363 0.637 0.438
Pd 0.637 0.363 0.562
Pd 0.637 0.363 0.938
Pd 0.934 0.066 0.750

Symmetry: Cmcm



The following is a DFT calculation (PBE) of an optimized crystal structure of Pm2BePd6.

a = 5.822 Å, b = 5.822 Å, c = 5.332 Å
α = 90.00°, β = 90.00°, γ = 120.00°
Fractional coordinates of all 9 atoms:
Pm 0.333 0.667 0.295
Pm 0.667 0.333 0.705
Be 0.000 0.000 0.500
Pd 0.168 0.336 0.783
Pd 0.168 0.832 0.783
Pd 0.336 0.168 0.217
Pd 0.664 0.832 0.783
Pd 0.832 0.168 0.217
Pd 0.832 0.664 0.217

Total moment, Bohr magnetons per cell: 0.00
Symmetry: P-3m1



The following is a DFT calculation (PBE) of an optimized crystal structure of PrBePd3.

a = 5.971 Å, b = 5.971 Å, c = 5.580 Å
α = 90.00°, β = 90.00°, γ = 120.00°
Fractional coordinates of all 10 atoms:
Pr 0.333 0.667 0.250
Pr 0.667 0.333 0.750
Be 0.000 0.000 0.000
Be 0.000 0.000 0.500
Pd 0.174 0.348 0.750
Pd 0.174 0.826 0.750
Pd 0.348 0.174 0.250
Pd 0.652 0.826 0.750
Pd 0.826 0.174 0.250
Pd 0.826 0.652 0.250

Total moment, Bohr magnetons per cell: 0.01
Symmetry: P6_3/mmc



The following is a DFT calculation (PBE) of an optimized crystal structure of Be2PdPt.

a = 4.037 Å, b = 4.037 Å, c = 2.795 Å
α = 90.00°, β = 90.00°, γ = 90.00°
Fractional coordinates of all 4 atoms:
Be 0.000 0.500 0.000
Be 0.500 0.000 0.000
Pd 0.000 0.000 0.500
Pt 0.500 0.500 0.500

Total moment, Bohr magnetons per cell: 0.00
Symmetry: P4/mmm



The following is a DFT calculation (PBE) of an optimized crystal structure of BePdPt.

a = 2.773 Å, b = 2.773 Å, c = 9.930 Å
α = 90.00°, β = 90.00°, γ = 90.00°
Fractional coordinates of all 6 atoms:
Be 0.000 0.000 0.000
Be 0.500 0.500 0.500
Pd 0.000 0.000 0.358
Pd 0.000 0.000 0.642
Pt 0.500 0.500 0.145
Pt 0.500 0.500 0.855

Total moment, Bohr magnetons per cell: 0.01
Symmetry: P4/mmm



The following is a DFT calculation (PBE) of an optimized crystal structure of Be2Pd3Pt.

a = 2.774 Å, b = 2.774 Å, c = 9.840 Å
α = 90.00°, β = 90.00°, γ = 90.00°
Fractional coordinates of all 6 atoms:
Be 0.000 0.000 0.000
Be 0.500 0.500 0.500
Pd 0.000 0.000 0.359
Pd 0.000 0.000 0.644
Pd 0.500 0.500 0.148
Pt 0.500 0.500 0.860

Total moment, Bohr magnetons per cell: 0.00
Symmetry: P4mm



The following is a DFT calculation (PBE) of an optimized crystal structure of Be2PdPt.

a = 4.018 Å, b = 4.018 Å, c = 4.018 Å
α = 120.41°, β = 120.41°, γ = 89.29°
Fractional coordinates of all 4 atoms:
Be 0.250 0.750 0.500
Be 0.750 0.250 0.500
Pd 0.000 0.000 0.000
Pt 0.500 0.500 0.000

Total moment, Bohr magnetons per cell: 0.00
Symmetry: I4/mmm



no.,total energy (eV per cell)
1,-79.6
2,-41.7
3,-51.4
4,-55.2
5,-21.5
6,-33.3
7,-32.3
8,-21.5